Material: CaAcSmCd
Method: DFT, GGA-PBE
State: relaxed

Cell lengths 3.793, 3.793, 9.696 Å; angles 90.00, 90.00, 90.00 degrees
Space group P4mm (No. 99)
Unique sites:
Ca 0.000 0.000 0.000 (multiplicity 1)
Ac 0.500 0.500 0.318 (multiplicity 1)
Sm 0.000 0.000 0.594 (multiplicity 1)
Cd 0.500 0.500 0.794 (multiplicity 1)

Results
Total energy in eV for the cell shown: -12.313
DOS(E_F) in states/eV per cell: 5.87